No. 1
The following is a GGA-PBE calculation of a relaxed structure of Te2PbBrN, from the Alexandria database.

## Properties
energy above the lowest structure with this stoichiometry	0.000	eV per atom
electronic total energy	-2.923	eV/atom
density of states at the Fermi level	0.63	states/eV per atom

The structure in CIF format:
```
data_Te2PbBrN
_chemical_formula_sum 'Te2 Pb1 Br1 N1'
_space_group_name_H-M_alt 'P 4/m m m'
_space_group_IT_number 123
_space_group_name_Hall '-P 4 2'
_cell_length_a 6.057
_cell_length_b 6.057
_cell_length_c 3.827
_cell_angle_alpha 90.00
_cell_angle_beta 90.00
_cell_angle_gamma 90.00
loop_
_atom_site_label
_atom_site_type_symbol
_atom_site_fract_x
_atom_site_fract_y
_atom_site_fract_z
Te1 Te 0.000 0.500 0.000
Pb1 Pb 0.000 0.000 0.500
Br1 Br 0.500 0.500 0.000
N1 N 0.500 0.500 0.500
```

=====

No. 2
The following is a GGA-PBE calculation of a relaxed structure of OsAu2Br, from the Alexandria database.

## Properties
energy above the lowest structure with this stoichiometry	0.032	eV per atom
electronic total energy	-4.208	eV/atom
density of states at the Fermi level	0.97	states/eV per atom

The structure in CIF format:
```
data_OsAu2Br
_chemical_formula_sum 'Os2 Au4 Br2'
_space_group_name_H-M_alt 'C 1 m 1'
_space_group_IT_number 8
_space_group_name_Hall 'C -2y'
_cell_length_a 9.331
_cell_length_b 2.995
_cell_length_c 6.754
_cell_angle_alpha 90.00
_cell_angle_beta 103.43
_cell_angle_gamma 90.00
loop_
_atom_site_label
_atom_site_type_symbol
_atom_site_fract_x
_atom_site_fract_y
_atom_site_fract_z
Os1 Os 0.000 0.000 0.000
Au1 Au 0.252 0.000 0.887
Au2 Au 0.484 0.000 0.656
Br1 Br 0.082 0.500 0.304
```

=====

No. 3
The following is a GGA-PBE calculation of a relaxed structure of Rb2Zn12Au7, from the Alexandria database.

## Properties
electronic total energy	-2.089	eV/atom
density of states at the Fermi level	0.31	states/eV per atom

The structure in CIF format:
```
data_Rb2Zn12Au7
_chemical_formula_sum 'Rb2 Zn12 Au7'
_space_group_name_H-M_alt 'P -6'
_space_group_IT_number 174
_space_group_name_Hall 'P -6'
_cell_length_a 10.2755
_cell_length_b 10.2755
_cell_length_c 4.4852
_cell_angle_alpha 90.00
_cell_angle_beta 90.00
_cell_angle_gamma 120.00
loop_
_atom_site_label
_atom_site_type_symbol
_atom_site_fract_x
_atom_site_fract_y
_atom_site_fract_z
Rb1 Rb 0.0000 0.0000 0.0000
Rb2 Rb 0.3333 0.6667 0.5000
Zn1 Zn 0.0119 0.7239 0.5000
Zn2 Zn 0.1509 0.3814 0.0000
Zn3 Zn 0.3778 0.1532 0.0000
Zn4 Zn 0.5642 0.1469 0.5000
Au1 Au 0.0111 0.5687 0.0000
Au2 Au 0.2599 0.0023 0.5000
Au3 Au 0.6667 0.3333 0.0000
```

=====

No. 4
The following is a GGA-PBE calculation of a relaxed structure of HgRh2, from the Alexandria database.

## Properties
electronic total energy	-4.466	eV/atom
density of states at the Fermi level	1.32	states/eV per atom

The structure in CIF format:
```
data_HgRh2
_chemical_formula_sum 'Hg1 Rh2'
_space_group_name_H-M_alt 'P 4/m m m'
_space_group_IT_number 123
_space_group_name_Hall '-P 4 2'
_cell_length_a 3.631
_cell_length_b 3.631
_cell_length_c 4.439
_cell_angle_alpha 90.00
_cell_angle_beta 90.00
_cell_angle_gamma 90.00
loop_
_atom_site_label
_atom_site_type_symbol
_atom_site_fract_x
_atom_site_fract_y
_atom_site_fract_z
Hg1 Hg 0.000 0.000 0.000
Rh1 Rh 0.000 0.500 0.500
```

=====

No. 5
The following is a GGA-PBE calculation of a relaxed structure of MgPaBi2, from the Alexandria database.

## Properties
energy above the lowest structure with this stoichiometry	0.000	eV per atom
electronic total energy	-4.915	eV/atom
density of states at the Fermi level	1.00	states/eV per atom

The structure in CIF format:
```
data_MgPaBi2
_chemical_formula_sum 'Mg1 Pa1 Bi2'
_space_group_name_H-M_alt 'P 4/m m m'
_space_group_IT_number 123
_space_group_name_Hall '-P 4 2'
_cell_length_a 5.120
_cell_length_b 5.120
_cell_length_c 4.113
_cell_angle_alpha 90.00
_cell_angle_beta 90.00
_cell_angle_gamma 90.00
loop_
_atom_site_label
_atom_site_type_symbol
_atom_site_fract_x
_atom_site_fract_y
_atom_site_fract_z
Mg1 Mg 0.000 0.000 0.000
Pa1 Pa 0.500 0.500 0.000
Bi1 Bi 0.000 0.500 0.500
```

=====

No. 6
The following is a GGA-PBE calculation of a relaxed structure of BeTlNi2, from the Alexandria database.

## Properties
energy above the lowest structure with this stoichiometry	0.095	eV per atom
electronic total energy	-4.224	eV/atom
density of states at the Fermi level	0.81	states/eV per atom

The structure in CIF format:
```
data_BeTlNi2
_chemical_formula_sum 'Be1 Tl1 Ni2'
_space_group_name_H-M_alt 'P 4 m m'
_space_group_IT_number 99
_space_group_name_Hall 'P 4 -2'
_cell_length_a 2.996
_cell_length_b 2.996
_cell_length_c 6.076
_cell_angle_alpha 90.00
_cell_angle_beta 90.00
_cell_angle_gamma 90.00
loop_
_atom_site_label
_atom_site_type_symbol
_atom_site_fract_x
_atom_site_fract_y
_atom_site_fract_z
Be1 Be 0.000 0.000 0.000
Tl1 Tl 0.500 0.500 0.651
Ni1 Ni 0.000 0.000 0.359
Ni2 Ni 0.500 0.500 0.116
```

=====

No. 7
The following is a GGA-PBE calculation of a relaxed structure of TaTc2Br, from the Alexandria database.

## Properties
energy above the lowest structure with this stoichiometry	0.175	eV per atom
electronic total energy	-8.107	eV/atom
density of states at the Fermi level	1.07	states/eV per atom

The structure in CIF format:
```
data_TaTc2Br
_chemical_formula_sum 'Ta2 Tc4 Br2'
_space_group_name_H-M_alt 'C m m m'
_space_group_IT_number 65
_space_group_name_Hall '-C 2 2'
_cell_length_a 3.166
_cell_length_b 4.989
_cell_length_c 8.817
_cell_angle_alpha 90.00
_cell_angle_beta 90.00
_cell_angle_gamma 90.00
loop_
_atom_site_label
_atom_site_type_symbol
_atom_site_fract_x
_atom_site_fract_y
_atom_site_fract_z
Ta1 Ta 0.000 0.000 0.000
Tc1 Tc 0.000 0.500 0.234
Br1 Br 0.000 0.000 0.500
```

=====

No. 8
The following is a GGA-PBE calculation of a relaxed structure of ThPO, from the Alexandria database.

## Properties
energy above the lowest structure with this stoichiometry	0.655	eV per atom
electronic total energy	-7.323	eV/atom
density of states at the Fermi level	1.02	states/eV per atom

The structure in CIF format:
```
data_ThPO
_chemical_formula_sum 'Th4 P4 O4'
_space_group_name_H-M_alt 'F -4 3 m'
_space_group_IT_number 216
_space_group_name_Hall 'F -4 2 3'
_cell_length_a 6.311
_cell_length_b 6.311
_cell_length_c 6.311
_cell_angle_alpha 90.00
_cell_angle_beta 90.00
_cell_angle_gamma 90.00
loop_
_atom_site_label
_atom_site_type_symbol
_atom_site_fract_x
_atom_site_fract_y
_atom_site_fract_z
Th1 Th 0.000 0.000 0.000
P1 P 0.250 0.250 0.750
O1 O 0.250 0.250 0.250
```